# 1
Tm2AlInPd4: optimized geometry, GGA-PBE.

The structure belongs to space group P-3m1 (No. 164); the cell edges are 4.4428, 4.4428 and 8.9650 Å and the angles 90.00°, 90.00° and 120.00°. The distinct sites, in fractional coordinates, are Tm at (0.3333, 0.6667, 0.2451), Al at (0.0000, 0.0000, 0.0000), In at (0.0000, 0.0000, 0.5000), Pd at (0.3333, 0.6667, 0.5938) and Pd at (0.3333, 0.6667, 0.9212).

For the raw total energy, the calculation gives -5.39 eV/atom. The spin magnetization comes out at 0.0 μB/f.u.

***

# 2
LiPaAs: optimized geometry, GGA-PBE.

The structure belongs to space group F-43m (No. 216); the cell edges are 6.696, 6.696 and 6.696 Å and the angles 90.00°, 90.00° and 90.00°. The distinct sites, in fractional coordinates, are Li at (0.000, 0.000, 0.000), Pa at (0.250, 0.250, 0.750) and As at (0.000, 0.000, 0.500).

Its relative energy among the computed polymorphs is 355 meV/atom. The spin magnetization comes out at 2.1 μB/f.u.

***

# 3
RbNbPdS3: optimized geometry, GGA-PBE.

The structure belongs to space group P2_1/m (No. 11); the cell edges are 8.262, 3.662 and 9.886 Å and the angles 90.00°, 114.27° and 90.00°. The distinct sites, in fractional coordinates, are Rb at (0.238, 0.250, 0.217), Nb at (0.202, 0.750, 0.667), Pd at (0.416, 0.250, 0.880), S at (0.036, 0.750, 0.379), S at (0.247, 0.750, 0.924) and S at (0.389, 0.250, 0.630).

For the raw total energy, the calculation gives -5.71 eV/atom. The spin magnetization comes out at 0.0 μB/f.u.

***

# 4
HoEr2Al3CuNi2: optimized geometry, GGA-PBE.

The structure belongs to space group Amm2 (No. 38); the cell edges are 3.875, 12.016 and 6.940 Å and the angles 90.00°, 90.00° and 90.00°. The distinct sites, in fractional coordinates, are Ho at (0.000, 0.000, 0.000), Er at (0.000, 0.209, 0.626), Al at (0.500, 0.000, 0.658), Al at (0.500, 0.121, 0.297), Cu at (0.000, 0.000, 0.418) and Ni at (0.500, 0.167, 0.917).

For the raw total energy, the calculation gives -4.98 eV/atom. The spin magnetization comes out at 0.0 μB/f.u.

***

# 5
Ni7W5: optimized geometry, GGA-PBE.

The structure belongs to space group P6_3/mmc (No. 194); the cell edges are 4.9566, 4.9566 and 15.3409 Å and the angles 90.00°, 90.00° and 120.00°. The distinct sites, in fractional coordinates, are Ni at (0.0000, 0.0000, 0.0880), Ni at (0.1572, 0.3144, 0.2500), Ni at (0.3333, 0.6667, 0.1341), W at (0.0000, 0.5000, 0.0000) and W at (0.3333, 0.6667, 0.6641).

The energy of formation comes out at 0.3467 eV per atom. Its relative energy among the computed polymorphs is 18 meV/atom. The spin magnetization comes out at 0.7 μB/f.u.

***

# 6
Sc2Bi3W: optimized geometry, GGA-PBE.

The structure belongs to space group P6/mmm (No. 191); the cell edges are 6.5147, 6.5147 and 4.5770 Å and the angles 90.00°, 90.00° and 120.00°. The distinct sites, in fractional coordinates, are Sc at (0.3333, 0.6667, 0.0000), Bi at (0.0000, 0.5000, 0.5000) and W at (0.0000, 0.0000, 0.0000).

For the raw total energy, the calculation gives -5.58 eV/atom. The spin magnetization comes out at 4.6 μB/f.u.

***

# 7
SnPPdO: optimized geometry, GGA-PBE.

The structure belongs to space group P4/nmm (No. 129, origin choice 2); the cell edges are 3.965, 3.965 and 9.414 Å and the angles 90.00°, 90.00° and 90.00°. The distinct sites, in fractional coordinates, are Sn at (0.250, 0.250, 0.120), P at (0.250, 0.250, 0.640), Pd at (0.250, 0.750, 0.500) and O at (0.250, 0.750, 0.000).

Its relative energy among the computed polymorphs is 1 meV/atom.

***

# 8
LuZnCoSi: optimized geometry, GGA-PBE.

The structure belongs to space group F-43m (No. 216); the cell edges are 6.254, 6.254 and 6.254 Å and the angles 90.00°, 90.00° and 90.00°. The distinct sites, in fractional coordinates, are Lu at (0.000, 0.000, 0.000), Zn at (0.250, 0.250, 0.750), Co at (0.000, 0.000, 0.500) and Si at (0.250, 0.250, 0.250).

Its relative energy among the computed polymorphs is 0 meV/atom. The spin magnetization comes out at 0.1 μB/f.u.

***

# 9
BeTlGeIr: optimized geometry, GGA-PBE.

The structure belongs to space group F-43m (No. 216); the cell edges are 6.430, 6.430 and 6.430 Å and the angles 90.00°, 90.00° and 90.00°. The distinct sites, in fractional coordinates, are Be at (0.000, 0.000, 0.000), Tl at (0.250, 0.250, 0.250), Ge at (0.250, 0.250, 0.750) and Ir at (0.000, 0.000, 0.500).

Its relative energy among the computed polymorphs is 39 meV/atom. The spin magnetization comes out at 0.0 μB/f.u.

***

# 10
Tb2W: optimized geometry, GGA-PBE.

The structure belongs to space group Fd-3m (No. 227, origin choice 2); the cell edges are 8.314, 8.314 and 8.314 Å and the angles 90.00°, 90.00° and 90.00°. The distinct sites, in fractional coordinates, are Tb at (0.000, 0.000, 0.000) and W at (0.125, 0.125, 0.625).

The energy of formation comes out at 1.3378 eV per atom. Its relative energy among the computed polymorphs is 0 meV/atom. The spin magnetization comes out at 0.1 μB/f.u.

***

# 11
ZrGeB: optimized geometry, GGA-PBE.

The structure belongs to space group F-43m (No. 216); the cell edges are 5.710, 5.710 and 5.710 Å and the angles 90.00°, 90.00° and 90.00°. The distinct sites, in fractional coordinates, are Zr at (0.000, 0.000, 0.000), Ge at (0.000, 0.000, 0.500) and B at (0.250, 0.250, 0.750).

For the raw total energy, the calculation gives -6.42 eV/atom. The spin magnetization comes out at 0.0 μB/f.u.

***

# 12
LaPrSb2Te2: optimized geometry, GGA-PBE.

The structure belongs to space group P4mm (No. 99); the cell edges are 4.396, 4.396 and 9.652 Å and the angles 90.00°, 90.00° and 90.00°. The distinct sites, in fractional coordinates, are La at (0.000, 0.000, 0.000), Pr at (0.500, 0.500, 0.552), Sb at (0.000, 0.500, 0.277), Te at (0.000, 0.000, 0.651) and Te at (0.500, 0.500, 0.902).

For the raw total energy, the calculation gives -5.27 eV/atom. The spin magnetization comes out at 0.0 μB/f.u.

***

# 13
NdYCuSi3: optimized geometry, GGA-PBE.

The structure belongs to space group Fmmm (No. 69); the cell edges are 8.053, 8.340 and 13.938 Å and the angles 90.00°, 90.00° and 90.00°. The distinct sites, in fractional coordinates, are Nd at (0.000, 0.243, 0.000), Y at (0.250, 0.250, 0.250), Cu at (0.000, 0.000, 0.333), Si at (0.000, 0.000, 0.170) and Si at (0.245, 0.000, 0.415).

Its relative energy among the computed polymorphs is 0 meV/atom. The spin magnetization comes out at 0.0 μB/f.u.

***

# 14
BeCdNO: optimized geometry, GGA-PBE.

The structure belongs to space group Pmc2_1 (No. 26); the cell edges are 2.873, 5.567 and 5.251 Å and the angles 90.00°, 90.00° and 90.00°. The distinct sites, in fractional coordinates, are Be at (0.000, 0.194, 0.000), Cd at (0.500, 0.271, 0.525), N at (0.000, 0.046, 0.291) and O at (0.500, 0.341, 0.955).

Its relative energy among the computed polymorphs is 116 meV/atom.

***

# 15
Dy2TmLu3Te2Os: optimized geometry, GGA-PBE.

The structure belongs to space group Amm2 (No. 38); the cell edges are 4.039, 14.227 and 8.134 Å and the angles 90.00°, 90.00° and 90.00°. The distinct sites, in fractional coordinates, are Dy at (0.000, 0.195, 0.000), Tm at (0.000, 0.000, 0.421), Lu at (0.500, 0.000, 0.042), Lu at (0.500, 0.118, 0.688), Te at (0.500, 0.167, 0.306) and Os at (0.000, 0.000, 0.801).

For the raw total energy, the calculation gives -5.71 eV/atom. The spin magnetization comes out at 0.0 μB/f.u.

***

# 16
LuMgCuB: optimized geometry, GGA-PBE.

The structure belongs to space group F-43m (No. 216); the cell edges are 6.220, 6.220 and 6.220 Å and the angles 90.00°, 90.00° and 90.00°. The distinct sites, in fractional coordinates, are Lu at (0.000, 0.000, 0.000), Mg at (0.250, 0.250, 0.250), Cu at (0.250, 0.250, 0.750) and B at (0.000, 0.000, 0.500).

Its relative energy among the computed polymorphs is 131 meV/atom. The spin magnetization comes out at 0.0 μB/f.u.

***

# 17
AsPtAuO: optimized geometry, GGA-PBE.

The structure belongs to space group P4/nmm (No. 129, origin choice 2); the cell edges are 3.784, 3.784 and 8.665 Å and the angles 90.00°, 90.00° and 90.00°. The distinct sites, in fractional coordinates, are As at (0.250, 0.250, 0.249), Pt at (0.250, 0.250, 0.639), Au at (0.250, 0.750, 0.000) and O at (0.250, 0.750, 0.500).

Its relative energy among the computed polymorphs is 444 meV/atom. The spin magnetization comes out at 0.0 μB/f.u.

***

# 18
ErIrO3: optimized geometry, GGA-PBE.

The structure belongs to space group I4/mcm (No. 140); the cell edges are 5.420, 5.420 and 7.989 Å and the angles 90.00°, 90.00° and 90.00°. The distinct sites, in fractional coordinates, are Er at (0.000, 0.500, 0.250), Ir at (0.000, 0.000, 0.000), O at (0.000, 0.000, 0.250) and O at (0.160, 0.340, 0.000).

For the raw total energy, the calculation gives -7.38 eV/atom. The spin magnetization comes out at 0.0 μB/f.u.

***

# 19
TbHIBr: optimized geometry, GGA-PBE.

The structure belongs to space group P-6m2 (No. 187); the cell edges are 3.9366, 3.9366 and 15.4990 Å and the angles 90.00°, 90.00° and 120.00°. The distinct sites, in fractional coordinates, are Tb at (0.0000, 0.0000, 0.0000), Tb at (0.0000, 0.0000, 0.5000), H at (0.3333, 0.6667, 0.0000), H at (0.6667, 0.3333, 0.5000), I at (0.3333, 0.6667, 0.3619) and Br at (0.6667, 0.3333, 0.1220).

For the raw total energy, the calculation gives -4.16 eV/atom. The spin magnetization comes out at 0.0 μB/f.u.

***

# 20
CsUF6: optimized geometry, GGA-PBE.

The structure belongs to space group R-3 (No. 148, hexagonal axes); the cell edges are 7.5854, 7.5854 and 7.7273 Å and the angles 90.00°, 90.00° and 120.00°. The distinct sites, in fractional coordinates, are Cs at (0.0000, 0.0000, 0.0000), U at (0.0000, 0.0000, 0.5000) and F at (0.0431, 0.2368, 0.6626).

For the raw total energy, the calculation gives -6.31 eV/atom. The spin magnetization comes out at 1.0 μB/f.u.

***

# 21
TaW: optimized geometry, GGA-PBE.

The structure belongs to space group Cmcm (No. 63); the cell edges are 5.322, 9.330 and 8.646 Å and the angles 90.00°, 90.00° and 90.00°. The distinct sites, in fractional coordinates, are Ta at (0.000, 0.166, 0.058), Ta at (0.000, 0.329, 0.750), W at (0.000, 0.500, 0.000) and W at (0.245, 0.084, 0.750).

The energy of formation comes out at 0.0625 eV per atom. The spin magnetization comes out at 0.0 μB/f.u.

***

# 22
PrGaSi: optimized geometry, GGA-PBE.

The structure belongs to space group I4_1md (No. 109); the cell edges are 4.250, 4.250 and 14.362 Å and the angles 90.00°, 90.00° and 90.00°. The distinct sites, in fractional coordinates, are Pr at (0.000, 0.000, 0.000), Ga at (0.000, 0.000, 0.417) and Si at (0.000, 0.000, 0.584).

For the raw total energy, the calculation gives -5.11 eV/atom. The spin magnetization comes out at 0.0 μB/f.u.

***

# 23
Tm6Ni2Ge: optimized geometry, GGA-PBE.

The structure belongs to space group P-62m (No. 189); the cell edges are 7.3735, 7.3735 and 4.4198 Å and the angles 90.00°, 90.00° and 120.00°. The distinct sites, in fractional coordinates, are Tm at (0.0000, 0.2721, 0.0000), Tm at (0.0000, 0.5946, 0.5000), Ni at (0.3333, 0.6667, 0.0000) and Ge at (0.0000, 0.0000, 0.5000).

For the raw total energy, the calculation gives -5.08 eV/atom. The spin magnetization comes out at 0.0 μB/f.u.

***

# 24
PuGeB: optimized geometry, GGA-PBE.

The structure belongs to space group F-43m (No. 216); the cell edges are 5.854, 5.854 and 5.854 Å and the angles 90.00°, 90.00° and 90.00°. The distinct sites, in fractional coordinates, are Pu at (0.000, 0.000, 0.000), Ge at (0.000, 0.000, 0.500) and B at (0.250, 0.250, 0.750).

Its relative energy among the computed polymorphs is 0 meV/atom. The spin magnetization comes out at 5.2 μB/f.u.

***

# 25
AcSc: optimized geometry, GGA-PBE.

The structure belongs to space group F-43m (No. 216); the cell edges are 7.135, 7.135 and 7.135 Å and the angles 90.00°, 90.00° and 90.00°. The distinct sites, in fractional coordinates, are Ac at (0.000, 0.000, 0.000) and Sc at (0.250, 0.250, 0.750).

The energy of formation comes out at 1.7567 eV per atom. Its relative energy among the computed polymorphs is 1530 meV/atom. The spin magnetization comes out at 0.3 μB/f.u.